[1]
A plane-wave DFT calculation with PBE-GGA was carried out for a geometry-optimized MgInF5 structure.

Values from the calculation:
Space group: C2/c (15)
Raw formation energy: -2.938 eV per atom

Geometry as CIF:
```
data_MgInF5
_cell_length_a 5.4546
_cell_length_b 5.4546
_cell_length_c 7.4174
_cell_angle_alpha 109.61
_cell_angle_beta 109.61
_cell_angle_gamma 72.82
_space_group_name_H-M_alt 'P 1'
_space_group_IT_number 1
_space_group_name_Hall 'P 1'
loop_
_atom_site_label
_atom_site_fract_x
_atom_site_fract_y
_atom_site_fract_z
Mg1 0.0000 0.0000 0.0000
Mg2 0.0000 0.0000 0.5000
In1 0.4485 0.5515 0.7500
In2 0.5515 0.4485 0.2500
F1 0.1092 0.8908 0.7500
F2 0.2090 0.2823 0.6309
F3 0.2823 0.2090 0.1309
F4 0.2947 0.6755 0.0389
F5 0.3245 0.7053 0.4611
F6 0.6755 0.2947 0.5389
F7 0.7053 0.3245 0.9611
F8 0.7177 0.7910 0.8691
F9 0.7910 0.7177 0.3691
F10 0.8908 0.1092 0.2500
```

=====

[2]
A plane-wave DFT calculation with PBE-GGA was carried out for a geometry-optimized MgIn3F structure.

Values from the calculation:
Space group: Pm-3m (221)
Raw formation energy: -0.476 eV per atom
Relative energy among the computed polymorphs: 0.0000 eV/atom

Geometry as CIF:
```
data_MgIn3F
_cell_length_a 5.0236
_cell_length_b 5.0236
_cell_length_c 5.0236
_cell_angle_alpha 90.00
_cell_angle_beta 90.00
_cell_angle_gamma 90.00
_space_group_name_H-M_alt 'P 1'
_space_group_IT_number 1
_space_group_name_Hall 'P 1'
loop_
_atom_site_label
_atom_site_fract_x
_atom_site_fract_y
_atom_site_fract_z
Mg1 0.0000 0.0000 0.0000
In1 0.0000 0.5000 0.5000
In2 0.5000 0.0000 0.5000
In3 0.5000 0.5000 0.0000
F1 0.5000 0.5000 0.5000
```

=====

[3]
A plane-wave DFT calculation with PBE-GGA was carried out for a geometry-optimized Mg2In2F structure.

Values from the calculation:
Space group: P4/mbm (127)
Raw formation energy: -0.781 eV per atom
Relative energy among the computed polymorphs: 0.0000 eV/atom

Geometry as CIF:
```
data_Mg2In2F
_cell_length_a 6.1949
_cell_length_b 6.1949
_cell_length_c 5.4820
_cell_angle_alpha 90.00
_cell_angle_beta 90.00
_cell_angle_gamma 90.00
_space_group_name_H-M_alt 'P 1'
_space_group_IT_number 1
_space_group_name_Hall 'P 1'
loop_
_atom_site_label
_atom_site_fract_x
_atom_site_fract_y
_atom_site_fract_z
Mg1 0.1771 0.3229 0.0000
Mg2 0.3229 0.8229 0.0000
Mg3 0.6771 0.1771 0.0000
Mg4 0.8229 0.6771 0.0000
In1 0.1717 0.6717 0.5000
In2 0.3283 0.1717 0.5000
In3 0.6717 0.8283 0.5000
In4 0.8283 0.3283 0.5000
F1 0.0000 0.0000 0.0000
F2 0.5000 0.5000 0.0000
```

=====

[4]
A plane-wave DFT calculation with PBE-GGA was carried out for a geometry-optimized Mg2InF structure.

Values from the calculation:
Space group: Fm-3m (225)
Raw formation energy: -0.621 eV per atom
Relative energy among the computed polymorphs: 0.4375 eV/atom

Geometry as CIF:
```
data_Mg2InF
_cell_length_a 4.8727
_cell_length_b 4.8727
_cell_length_c 4.8727
_cell_angle_alpha 60.00
_cell_angle_beta 60.00
_cell_angle_gamma 60.00
_space_group_name_H-M_alt 'P 1'
_space_group_IT_number 1
_space_group_name_Hall 'P 1'
loop_
_atom_site_label
_atom_site_fract_x
_atom_site_fract_y
_atom_site_fract_z
Mg1 0.2500 0.2500 0.2500
Mg2 0.7500 0.7500 0.7500
In1 0.0000 0.0000 0.0000
F1 0.5000 0.5000 0.5000
```

=====

[5]
A plane-wave DFT calculation with PBE-GGA was carried out for a geometry-optimized MgInF4 structure.

Values from the calculation:
Space group: P2/m (10)
Raw formation energy: -2.671 eV per atom

Geometry as CIF:
```
data_MgInF4
_cell_length_a 4.6048
_cell_length_b 3.2212
_cell_length_c 6.0641
_cell_angle_alpha 90.00
_cell_angle_beta 96.49
_cell_angle_gamma 90.00
_space_group_name_H-M_alt 'P 1'
_space_group_IT_number 1
_space_group_name_Hall 'P 1'
loop_
_atom_site_label
_atom_site_fract_x
_atom_site_fract_y
_atom_site_fract_z
Mg1 0.0000 0.0000 0.0000
In1 0.0000 0.5000 0.5000
F1 0.2028 0.5000 0.8704
F2 0.2372 0.0000 0.3074
F3 0.7628 0.0000 0.6926
F4 0.7972 0.5000 0.1296
```

=====

[6]
A plane-wave DFT calculation with PBE-GGA was carried out for a geometry-optimized MgIn2F5 structure.

Values from the calculation:
Space group: Pbcn (60)
Raw formation energy: -2.505 eV per atom

Geometry as CIF:
```
data_MgIn2F5
_cell_length_a 8.2530
_cell_length_b 11.4843
_cell_length_c 5.7168
_cell_angle_alpha 90.00
_cell_angle_beta 90.00
_cell_angle_gamma 90.00
_space_group_name_H-M_alt 'P 1'
_space_group_IT_number 1
_space_group_name_Hall 'P 1'
loop_
_atom_site_label
_atom_site_fract_x
_atom_site_fract_y
_atom_site_fract_z
Mg1 0.0000 0.0603 0.2500
Mg2 0.0000 0.9397 0.7500
Mg3 0.5000 0.4397 0.7500
Mg4 0.5000 0.5603 0.2500
In1 0.1224 0.3489 0.5588
In2 0.1224 0.6511 0.0588
In3 0.3776 0.1511 0.0588
In4 0.3776 0.8489 0.5588
In5 0.6224 0.1511 0.4412
In6 0.6224 0.8489 0.9412
In7 0.8776 0.3489 0.9412
In8 0.8776 0.6511 0.4412
F1 0.0000 0.4330 0.2500
F2 0.0000 0.5670 0.7500
F3 0.1301 0.0567 0.9454
F4 0.1301 0.9433 0.4454
F5 0.1591 0.1872 0.3393
F6 0.1591 0.8128 0.8393
F7 0.3409 0.3128 0.8393
F8 0.3409 0.6872 0.3393
F9 0.3699 0.4433 0.4454
F10 0.3699 0.5567 0.9454
F11 0.5000 0.0670 0.7500
F12 0.5000 0.9330 0.2500
F13 0.6301 0.4433 0.0546
F14 0.6301 0.5567 0.5546
F15 0.6591 0.3128 0.6607
F16 0.6591 0.6872 0.1607
F17 0.8409 0.1872 0.1607
F18 0.8409 0.8128 0.6607
F19 0.8699 0.0567 0.5546
F20 0.8699 0.9433 0.0546
```

=====

[7]
A plane-wave DFT calculation with PBE-GGA was carried out for a geometry-optimized Mg2In2F structure.

Values from the calculation:
Space group: I4/mmm (139)
Raw formation energy: -0.313 eV per atom
Relative energy among the computed polymorphs: 0.4683 eV/atom

Geometry as CIF:
```
data_Mg2In2F
_cell_length_a 8.3160
_cell_length_b 8.3160
_cell_length_c 8.3160
_cell_angle_alpha 151.72
_cell_angle_beta 151.72
_cell_angle_gamma 40.42
_space_group_name_H-M_alt 'P 1'
_space_group_IT_number 1
_space_group_name_Hall 'P 1'
loop_
_atom_site_label
_atom_site_fract_x
_atom_site_fract_y
_atom_site_fract_z
Mg1 0.0906 0.0906 0.0000
Mg2 0.9094 0.9094 0.0000
In1 0.2500 0.7500 0.5000
In2 0.7500 0.2500 0.5000
F1 0.5000 0.5000 0.0000
```

=====

[8]
A plane-wave DFT calculation with PBE-GGA was carried out for a geometry-optimized MgInN2F structure.

Values from the calculation:
Space group: P4/mmm (123)
Raw formation energy: 0.100 eV per atom
Relative energy among the computed polymorphs: 0.0000 eV/atom

Geometry as CIF:
```
data_MgInN2F
_cell_length_a 4.1789
_cell_length_b 4.1789
_cell_length_c 3.7224
_cell_angle_alpha 90.00
_cell_angle_beta 90.00
_cell_angle_gamma 90.00
_space_group_name_H-M_alt 'P 1'
_space_group_IT_number 1
_space_group_name_Hall 'P 1'
loop_
_atom_site_label
_atom_site_fract_x
_atom_site_fract_y
_atom_site_fract_z
Mg1 0.0000 0.0000 0.0000
In1 0.5000 0.5000 0.5000
N1 0.0000 0.5000 0.0000
N2 0.5000 0.0000 0.0000
F1 0.0000 0.0000 0.5000
```

=====

[9]
A plane-wave DFT calculation with PBE-GGA was carried out for a geometry-optimized MgInN2F structure.

Values from the calculation:
Space group: P4/mmm (123)
Raw formation energy: 0.261 eV per atom
Relative energy among the computed polymorphs: 0.1613 eV/atom

Geometry as CIF:
```
data_MgInN2F
_cell_length_a 4.2171
_cell_length_b 4.2171
_cell_length_c 4.2808
_cell_angle_alpha 90.00
_cell_angle_beta 90.00
_cell_angle_gamma 90.00
_space_group_name_H-M_alt 'P 1'
_space_group_IT_number 1
_space_group_name_Hall 'P 1'
loop_
_atom_site_label
_atom_site_fract_x
_atom_site_fract_y
_atom_site_fract_z
Mg1 0.0000 0.0000 0.0000
In1 0.5000 0.5000 0.5000
N1 0.0000 0.5000 0.5000
N2 0.5000 0.0000 0.5000
F1 0.5000 0.5000 0.0000
```

=====

[10]
A plane-wave DFT calculation with PBE-GGA was carried out for a geometry-optimized NaMgInF6 structure.

Values from the calculation:
Space group: P-31c (163)
Raw formation energy: -2.924 eV per atom

Geometry as CIF:
```
data_NaMgInF6
_cell_length_a 5.5012
_cell_length_b 5.5012
_cell_length_c 9.6798
_cell_angle_alpha 90.00
_cell_angle_beta 90.00
_cell_angle_gamma 120.00
_space_group_name_H-M_alt 'P 1'
_space_group_IT_number 1
_space_group_name_Hall 'P 1'
loop_
_atom_site_label
_atom_site_fract_x
_atom_site_fract_y
_atom_site_fract_z
Na1 0.0000 0.0000 0.0000
Na2 0.0000 0.0000 0.5000
Mg1 0.3333 0.6667 0.2500
Mg2 0.6667 0.3333 0.7500
In1 0.3333 0.6667 0.7500
In2 0.6667 0.3333 0.2500
F1 0.0128 0.3664 0.1384
F2 0.0128 0.6464 0.3616
F3 0.3536 0.3664 0.3616
F4 0.3536 0.9872 0.1384
F5 0.3664 0.0128 0.6384
F6 0.3664 0.3536 0.8616
F7 0.6336 0.6464 0.1384
F8 0.6336 0.9872 0.3616
F9 0.6464 0.0128 0.8616
F10 0.6464 0.6336 0.6384
F11 0.9872 0.3536 0.6384
F12 0.9872 0.6336 0.8616
```